Arrangement i

! CsFeCl4, optimized geometry, DFT PBE; values from VASP
&SYSTEM
  ibrav = 0, nat = 24, ntyp = 3
/
ATOMIC_SPECIES
Cs 132.91 Cs.upf
Fe 55.84 Fe.upf
Cl 35.45 Cl.upf
CELL_PARAMETERS angstrom
12.0671 0.0000 0.0000
0.0000 7.2590 0.0000
0.0000 0.0000 9.7664
ATOMIC_POSITIONS crystal
Cs 0.1826 0.2500 0.1567
Cs 0.3174 0.7500 0.6567
Cs 0.6826 0.2500 0.3433
Cs 0.8174 0.7500 0.8433
Fe 0.0621 0.2500 0.6986
Fe 0.4379 0.7500 0.1986
Fe 0.5621 0.2500 0.8014
Fe 0.9379 0.7500 0.3014
Cl 0.0857 0.0035 0.8298
Cl 0.0857 0.4965 0.8298
Cl 0.1074 0.7500 0.3838
Cl 0.1895 0.2500 0.5369
Cl 0.3105 0.7500 0.0369
Cl 0.3926 0.2500 0.8838
Cl 0.4143 0.5035 0.3298
Cl 0.4143 0.9965 0.3298
Cl 0.5857 0.0035 0.6702
Cl 0.5857 0.4965 0.6702
Cl 0.6074 0.7500 0.1162
Cl 0.6895 0.2500 0.9631
Cl 0.8105 0.7500 0.4631
Cl 0.8926 0.2500 0.6162
Cl 0.9143 0.5035 0.1702
Cl 0.9143 0.9965 0.1702
! - space-group type = Pnma
! - total magnetization (μB/cell) = 20.0

***

Arrangement ii

! CsFeCl4, optimized geometry, DFT PBE; values from VASP
&SYSTEM
  ibrav = 0, nat = 12, ntyp = 3
/
ATOMIC_SPECIES
Cs 132.91 Cs.upf
Fe 55.84 Fe.upf
Cl 35.45 Cl.upf
CELL_PARAMETERS angstrom
2.4873 -9.7733 0.0000
2.4873 9.7733 0.0000
0.0000 0.0000 7.3966
ATOMIC_POSITIONS crystal
Cs 0.1012 0.8988 0.7500
Cs 0.8988 0.1012 0.2500
Fe 0.4001 0.5999 0.7500
Fe 0.5999 0.4001 0.2500
Cl 0.0800 0.9200 0.2500
Cl 0.3242 0.6758 0.5247
Cl 0.3242 0.6758 0.9753
Cl 0.5000 0.5000 0.0000
Cl 0.5000 0.5000 0.5000
Cl 0.6758 0.3242 0.0247
Cl 0.6758 0.3242 0.4753
Cl 0.9200 0.0800 0.7500
! - space-group type = Cmcm
! - total magnetization (μB/cell) = 10.0

***

Most favorable structure: arrangement i. The second most favorable one is 153 meV per atom above it.